1.
Crystalline Li3Bi4S8 at its relaxed geometry, computed with PBE-GGA.

The calculation puts the uncorrected formation energy at -0.56 eV per atom. The density of states at the Fermi level is 10.354 states/eV per cell.

Structure (CIF):
```
data_Li3Bi4S8
_chemical_formula_sum 'Li6 Bi8 S16'
_space_group_name_H-M_alt 'C 1 2/m 1'
_space_group_IT_number 12
_space_group_name_Hall '-C 2y'
_cell_length_a 11.068
_cell_length_b 11.324
_cell_length_c 7.810
_cell_angle_alpha 90.00
_cell_angle_beta 134.48
_cell_angle_gamma 90.00
loop_
_atom_site_label
_atom_site_type_symbol
_atom_site_fract_x
_atom_site_fract_y
_atom_site_fract_z
Li1 Li 0.000 0.000 0.000
Li2 Li 0.250 0.250 0.000
Bi1 Bi 0.000 0.000 0.500
Bi2 Bi 0.000 0.500 0.000
Bi3 Bi 0.250 0.250 0.500
S1 S 0.000 0.245 0.500
S2 S 0.000 0.250 0.000
S3 S 0.237 0.000 0.984
S4 S 0.248 0.000 0.487
```

=====

2.
Crystalline MnCdBr2 at its relaxed geometry, computed with PBE-GGA.

The calculation puts the uncorrected formation energy at 0.07 eV per atom. The density of states at the Fermi level is 6.119 states/eV per cell. As for the energy above the lowest structure with this stoichiometry: 0.5211 eV/atom.

Structure (CIF):
```
data_MnCdBr2
_chemical_formula_sum 'Mn2 Cd2 Br4'
_space_group_name_H-M_alt 'I -4 m 2'
_space_group_IT_number 119
_space_group_name_Hall 'I -4 -2'
_cell_length_a 4.085
_cell_length_b 4.085
_cell_length_c 12.992
_cell_angle_alpha 90.00
_cell_angle_beta 90.00
_cell_angle_gamma 90.00
loop_
_atom_site_label
_atom_site_type_symbol
_atom_site_fract_x
_atom_site_fract_y
_atom_site_fract_z
Mn1 Mn 0.000 0.000 0.000
Cd1 Cd 0.000 0.500 0.250
Br1 Br 0.000 0.000 0.500
Br2 Br 0.000 0.500 0.750
```

=====

3.
Crystalline Tm4InHgN at its relaxed geometry, computed with PBE-GGA.

The calculation puts the uncorrected formation energy at -0.74 eV per atom. The density of states at the Fermi level is 7.669 states/eV per cell.

Structure (CIF):
```
data_Tm4InHgN
_chemical_formula_sum 'Tm16 In4 Hg4 N4'
_space_group_name_H-M_alt 'C m c m'
_space_group_IT_number 63
_space_group_name_Hall '-C 2c 2'
_cell_length_a 6.699
_cell_length_b 14.856
_cell_length_c 6.702
_cell_angle_alpha 90.00
_cell_angle_beta 90.00
_cell_angle_gamma 90.00
loop_
_atom_site_label
_atom_site_type_symbol
_atom_site_fract_x
_atom_site_fract_y
_atom_site_fract_z
Tm1 Tm 0.000 0.081 0.250
Tm2 Tm 0.000 0.411 0.250
Tm3 Tm 0.250 0.250 0.000
In1 In 0.000 0.384 0.750
Hg1 Hg 0.000 0.118 0.750
N1 N 0.000 0.251 0.250
```

=====

Please write out number 1 again, unchanged.
Crystalline Li3Bi4S8 at its relaxed geometry, computed with PBE-GGA.

The calculation puts the uncorrected formation energy at -0.56 eV per atom. The density of states at the Fermi level is 10.354 states/eV per cell.

Structure (CIF):
```
data_Li3Bi4S8
_chemical_formula_sum 'Li6 Bi8 S16'
_space_group_name_H-M_alt 'C 1 2/m 1'
_space_group_IT_number 12
_space_group_name_Hall '-C 2y'
_cell_length_a 11.068
_cell_length_b 11.324
_cell_length_c 7.810
_cell_angle_alpha 90.00
_cell_angle_beta 134.48
_cell_angle_gamma 90.00
loop_
_atom_site_label
_atom_site_type_symbol
_atom_site_fract_x
_atom_site_fract_y
_atom_site_fract_z
Li1 Li 0.000 0.000 0.000
Li2 Li 0.250 0.250 0.000
Bi1 Bi 0.000 0.000 0.500
Bi2 Bi 0.000 0.500 0.000
Bi3 Bi 0.250 0.250 0.500
S1 S 0.000 0.245 0.500
S2 S 0.000 0.250 0.000
S3 S 0.237 0.000 0.984
S4 S 0.248 0.000 0.487
```

=====

> Which formula does entry 2 have?

MnCdBr2